No. 1
## MnZn2Cd (GGA-PBE)

Data for a geometry-optimized MnZn2Cd structure.

Cell: 5.4342 5.4342 5.4342 Å, 148.08 128.35 62.01°
Site moments in Bohr magnetons follow the coordinates.
Element x y z (fractional)
Mn 0.7500 0.2500 0.5000  3.32
Cd 0.2500 0.7500 0.5000  -0.04
Zn 0.5182 0.5182 0.0000  -0.03
Zn 0.9818 0.9818 0.0000  -0.03

Summary:
As for the mass density: 7.513 Mg/m³. The crystal system is orthorhombic. The energy of formation is 0.69 eV per formula unit. As for the density of states at the Fermi level: 0.612 states/eV per atom.

---

No. 2
## Pr6Nd12Al (GGA-PBE)

Data for a geometry-optimized Pr6Nd12Al structure.

Cell: 8.7011 8.7011 8.7011 Å, 90.47 90.47 90.47°
Element x y z (fractional)
Nd 0.3665 0.0441 0.1566
Nd 0.0441 0.1566 0.3665
Nd 0.4523 0.7919 0.5193
Nd 0.6335 0.9559 0.8434
Nd 0.8434 0.6335 0.9559
Nd 0.9559 0.8434 0.6335
Nd 0.2081 0.4807 0.5477
Nd 0.7919 0.5193 0.4523
Nd 0.1566 0.3665 0.0441
Nd 0.4807 0.5477 0.2081
Nd 0.5477 0.2081 0.4807
Nd 0.5193 0.4523 0.7919
Pr 0.2624 0.0960 0.7298
Pr 0.0960 0.7298 0.2624
Pr 0.9040 0.2702 0.7376
Pr 0.7376 0.9040 0.2702
Pr 0.7298 0.2624 0.0960
Pr 0.2702 0.7376 0.9040
Al 0.0000 0.0000 0.0000

Summary:
As for the mass density: 6.563 Mg/m³. The crystal system is trigonal. The energy of formation is 1.48 eV per formula unit. As for the density of states at the Fermi level: 1.676 states/eV per atom.

---

No. 3
## LiY2In (GGA-PBE)

Data for a geometry-optimized LiY2In structure.

Cell: 5.9424 5.9424 5.9424 Å, 134.92 134.92 65.65°
Element x y z (fractional)
Y 0.2500 0.7500 0.5000
Y 0.0000 0.0000 0.0000
Li 0.7500 0.2500 0.5000
In 0.5000 0.5000 0.0000

Summary:
As for the mass density: 4.800 Mg/m³. The crystal system is tetragonal. The energy of formation is -0.64 eV per formula unit. As for the density of states at the Fermi level: 0.642 states/eV per atom.

---

No. 4
## Tb3Tm2Mg4 (GGA-PBE)

Data for a geometry-optimized Tb3Tm2Mg4 structure.

Cell: 5.6469 9.5166 9.5165 Å, 81.97 89.98 89.98°
Element x y z (fractional)
Mg 0.4993 0.5013 0.8314
Mg 0.9995 0.6717 0.1958
Mg 0.9993 0.8313 0.5013
Mg 0.0005 0.3283 0.8042
Mg 0.5005 0.8042 0.3283
Mg 0.5007 0.4987 0.1686
Mg 0.0007 0.1687 0.4987
Mg 0.4995 0.1958 0.6717
Tb 0.5007 0.1838 0.0064
Tb 0.0007 0.0064 0.1838
Tb 0.7500 0.4996 0.5004
Tb 0.4993 0.8162 0.9936
Tb 0.2500 0.5004 0.4996
Tb 0.9993 0.9936 0.8162
Tm 0.5008 0.1599 0.3474
Tm 0.9992 0.6526 0.8401
Tm 0.4992 0.8401 0.6526
Tm 0.0008 0.3474 0.1599

Summary:
As for the mass density: 5.980 Mg/m³. The crystal system is monoclinic. The energy of formation is 0.51 eV per formula unit. As for the density of states at the Fermi level: 1.130 states/eV per atom.

---

No. 5
## Be2POs (GGA-PBE)

Data for a geometry-optimized Be2POs structure.

Cell: 4.2718 4.2718 3.9834 Å, 86.02 86.02 39.29°
Element x y z (fractional)
Be 0.7608 0.7608 0.7524
Be 0.0189 0.0189 0.9643
P 0.2227 0.2227 0.2961
Os 0.4975 0.4975 0.4872

Summary:
As for the mass density: 8.654 Mg/m³. The crystal system is monoclinic. The energy of formation is -0.18 eV per formula unit. As for the density of states at the Fermi level: 0.366 states/eV per atom.

---

No. 6
## LaTcRh (GGA-PBE)

Data for a geometry-optimized LaTcRh structure.

Cell: 2.9347 2.9347 7.5624 Å, 90.00 90.00 120.00°
Element x y z (fractional)
Rh 0.6667 0.3333 0.3668
Tc 0.3333 0.6667 0.6297
La 0.0000 0.0000 0.0035

Summary:
The energy above the lowest structure with this stoichiometry comes out at 1.09 eV per formula unit. As for the mass density: 10.004 Mg/m³. The crystal system is trigonal. The energy of formation is 1.34 eV per formula unit. As for the density of states at the Fermi level: 1.201 states/eV per atom.

---

No. 7
## Be4AlBr (GGA-PBE)

Data for a geometry-optimized Be4AlBr structure.

Cell: 4.7554 4.7554 4.7554 Å, 60.00 60.00 60.00°
Element x y z (fractional)
Be 0.6314 0.6314 0.6314
Be 0.6314 0.1058 0.6314
Be 0.6314 0.6314 0.1058
Be 0.1058 0.6314 0.6314
Al 0.0000 0.0000 0.0000
Br 0.2500 0.2500 0.2500

Summary:
As for the mass density: 3.121 Mg/m³. The uncorrected formation energy is 0.59 eV/atom. The crystal system is cubic. As for the density of states at the Fermi level: 0.335 states/eV per atom.

---

No. 8
## DyPIr (GGA-PBE)

Data for a geometry-optimized DyPIr structure.

Cell: 4.1427 5.4717 5.6592 Å, 77.75 68.53 67.76°
Element x y z (fractional)
Dy 0.0530 0.1928 0.7012
Dy 0.9470 0.8072 0.2988
P 0.6773 0.4036 0.2418
P 0.3227 0.5964 0.7582
Ir 0.3189 0.2279 0.1343
Ir 0.6811 0.7721 0.8657

Summary:
As for the mass density: 11.635 Mg/m³. The crystal system is monoclinic. The energy of formation is -3.11 eV per formula unit. As for the density of states at the Fermi level: 0.437 states/eV per atom.

---

No. 9
## RbNaTe2 (GGA-PBE)

Data for a geometry-optimized RbNaTe2 structure.

Cell: 5.8298 5.8298 5.8298 Å, 60.00 60.00 60.00°
Element x y z (fractional)
Na 0.0000 0.0000 0.0000
Te 0.7500 0.7500 0.7500
Te 0.2500 0.2500 0.2500
Rb 0.5000 0.5000 0.5000

Summary:
The energy above the lowest structure with this stoichiometry comes out at 0.89 eV per formula unit. As for the mass density: 4.310 Mg/m³. The uncorrected formation energy is -0.47 eV/atom. The crystal system is cubic. As for the density of states at the Fermi level: 1.335 states/eV per atom.

---

No. 10
## Na2AlCr (GGA-PBE)

Data for a geometry-optimized Na2AlCr structure.

Cell: 5.1032 5.1032 5.1032 Å, 60.00 60.00 60.00°
Site moments in Bohr magnetons follow the coordinates.
Element x y z (fractional)
Cr 0.5000 0.5000 0.5000  4.06
Na 0.7500 0.7500 0.7500  -0.01
Na 0.2500 0.2500 0.2500  -0.01
Al 0.0000 0.0000 0.0000  -0.07

Summary:
The energy above the lowest structure with this stoichiometry comes out at 0.00 eV per formula unit. As for the mass density: 2.208 Mg/m³. The crystal system is cubic. The energy of formation is 2.71 eV per formula unit. As for the density of states at the Fermi level: 0.693 states/eV per atom.

---

No. 11
## SrZnNi2 (GGA-PBE)

Data for a geometry-optimized SrZnNi2 structure.

Cell: 3.2276 3.2276 6.8615 Å, 90.00 90.00 90.00°
Site moments in Bohr magnetons follow the coordinates.
Element x y z (fractional)
Ni 0.5000 0.5000 0.1704  0.31
Ni 0.0000 0.0000 0.0266  0.33
Zn 0.5000 0.5000 0.8242  0.00
Sr 0.0000 0.0000 0.4787  -0.01

Summary:
As for the mass density: 6.282 Mg/m³. The crystal system is tetragonal. The energy of formation is 0.62 eV per formula unit. As for the density of states at the Fermi level: 1.054 states/eV per atom.

---

No. 12
## AsRu2Pb (GGA-PBE)

Data for a geometry-optimized AsRu2Pb structure.

Cell: 5.1880 5.1880 3.1158 Å, 74.23 74.23 106.84°
Element x y z (fractional)
As 0.5000 0.0000 0.5000
Ru 0.0000 0.0000 0.0000
Ru 0.5000 0.5000 0.0000
Pb 0.0000 0.5000 0.5000

Summary:
The energy above the lowest structure with this stoichiometry comes out at 1.62 eV per formula unit. As for the mass density: 11.258 Mg/m³. The crystal system is monoclinic. The energy of formation is 2.40 eV per formula unit. As for the density of states at the Fermi level: 1.113 states/eV per atom.

---

No. 13
## Sr3AlTc (GGA-PBE)

Data for a geometry-optimized Sr3AlTc structure.

Cell: 5.6733 5.6733 5.6733 Å, 90.00 90.00 90.00°
Site moments in Bohr magnetons follow the coordinates.
Element x y z (fractional)
Al 0.5000 0.5000 0.5000  -0.01
Sr 0.0000 0.0000 0.5000  -0.01
Sr 0.0000 0.5000 0.0000  0.00
Sr 0.5000 0.0000 0.0000  0.01
Tc 0.0000 0.0000 0.0000  0.47

Summary:
The energy above the lowest structure with this stoichiometry comes out at 0.00 eV per formula unit. As for the mass density: 3.527 Mg/m³. The crystal system is cubic. The energy of formation is 3.46 eV per formula unit. As for the density of states at the Fermi level: 1.349 states/eV per atom.

---

No. 14
## Cd6Ag8Au (GGA-PBE)

Data for a geometry-optimized Cd6Ag8Au structure.

Cell: 7.4896 7.4896 7.4896 Å, 59.15 59.15 59.15°
Element x y z (fractional)
Cd 0.9440 0.4639 0.7301
Cd 0.7301 0.9440 0.4639
Cd 0.0560 0.5361 0.2699
Cd 0.2699 0.0560 0.5361
Cd 0.5361 0.2699 0.0560
Cd 0.4639 0.7301 0.9440
Ag 0.5797 0.5797 0.5797
Ag 0.4203 0.4203 0.4203
Ag 0.1885 0.8822 0.3347
Ag 0.8115 0.1178 0.6653
Ag 0.8822 0.3347 0.1885
Ag 0.6653 0.8115 0.1178
Ag 0.1178 0.6653 0.8115
Ag 0.3347 0.1885 0.8822
Au 0.0000 0.0000 0.0000

Summary:
The energy above the lowest structure with this stoichiometry comes out at 0.00 eV per formula unit. As for the mass density: 9.887 Mg/m³. The crystal system is trigonal. The energy of formation is -0.34 eV per formula unit. As for the density of states at the Fermi level: 0.465 states/eV per atom.

---

No. 15
## Sm6Tl3O2 (GGA-PBE)

Data for a geometry-optimized Sm6Tl3O2 structure.

Cell: 4.8003 4.8003 13.1554 Å, 100.51 100.51 90.00°
Element x y z (fractional)
Sm 0.3029 0.3029 0.6058
Sm 0.6971 0.6971 0.3942
Sm 0.9147 0.4147 0.8294
Sm 0.4147 0.9147 0.8294
Sm 0.5853 0.0853 0.1706
Sm 0.0853 0.5853 0.1706
Tl 0.0000 0.0000 0.0000
Tl 0.1764 0.1764 0.3528
Tl 0.8236 0.8236 0.6472
O 0.3975 0.3975 0.7950
O 0.6025 0.6025 0.2050

Summary:
As for the mass density: 8.773 Mg/m³. The uncorrected formation energy is -1.22 eV/atom. The crystal system is tetragonal. As for the density of states at the Fermi level: 0.580 states/eV per atom.

---

No. 16
## YVCu (GGA-PBE)

Data for a geometry-optimized YVCu structure.

Cell: 4.2618 5.0406 5.4961 Å, 75.71 90.02 90.02°
Element x y z (fractional)
Cu 0.7499 0.4434 0.3840
Cu 0.2501 0.5566 0.6160
V 0.2498 0.0873 0.4969
V 0.7502 0.9127 0.5031
Y 0.7500 0.2587 0.9185
Y 0.2500 0.7413 0.0815

Summary:
The energy above the lowest structure with this stoichiometry comes out at 0.17 eV per formula unit. As for the mass density: 5.904 Mg/m³. The crystal system is monoclinic. The energy of formation is 0.42 eV per formula unit. As for the density of states at the Fermi level: 1.020 states/eV per atom.

---

No. 17
## CuAgMo2 (GGA-PBE)

Data for a geometry-optimized CuAgMo2 structure.

Cell: 4.4426 4.4426 4.4426 Å, 60.00 60.00 60.00°
Element x y z (fractional)
Cu 0.0000 0.0000 0.0000
Mo 0.2500 0.2500 0.2500
Mo 0.7500 0.7500 0.7500
Ag 0.5000 0.5000 0.5000

Summary:
The energy above the lowest structure with this stoichiometry comes out at 2.26 eV per formula unit. As for the mass density: 9.730 Mg/m³. The crystal system is cubic. The energy of formation is 3.19 eV per formula unit. As for the density of states at the Fermi level: 2.634 states/eV per atom.

---

No. 18
## LaTb2Pr6Th (GGA-PBE)

Data for a geometry-optimized LaTb2Pr6Th structure.

Cell: 10.0361 8.9452 8.9452 Å, 116.66 94.89 94.89°
Element x y z (fractional)
Pr 0.9435 0.8947 0.2443
Pr 0.8786 0.2999 0.5080
Pr 0.6833 0.0173 0.5779
Pr 0.6214 0.4920 0.7001
Pr 0.3167 0.9827 0.4221
Pr 0.3786 0.5080 0.2999
Pr 0.4435 0.2443 0.8947
Pr 0.1833 0.5779 0.0173
Pr 0.8167 0.4221 0.9827
Pr 0.5565 0.7557 0.1053
Pr 0.1214 0.7001 0.4920
Pr 0.0565 0.1053 0.7557
Tb 0.5484 0.1927 0.2813
Tb 0.4516 0.8073 0.7187
Tb 0.0484 0.2813 0.1927
Tb 0.9516 0.7187 0.8073
La 0.7500 0.5969 0.4031
La 0.2500 0.4031 0.5969
Th 0.2500 0.9732 0.0268
Th 0.7500 0.0268 0.9732

Summary:
As for the mass density: 7.195 Mg/m³. The crystal system is monoclinic. The energy of formation is 1.37 eV per formula unit. As for the density of states at the Fermi level: 1.501 states/eV per atom.

---

No. 19
## TmGe3Ru5 (GGA-PBE)

Data for a geometry-optimized TmGe3Ru5 structure.

Cell: 3.0199 6.8832 14.2438 Å, 90.00 90.00 102.67°
Element x y z (fractional)
Ru 0.4705 0.9409 0.1549
Ru 0.8111 0.6222 0.4189
Ru 0.5295 0.0591 0.6549
Ru 0.5295 0.0591 0.8451
Ru 0.0000 0.0000 0.5000
Ru 0.0000 0.0000 0.0000
Ru 0.8111 0.6222 0.0811
Ru 0.1889 0.3778 0.9189
Ru 0.1889 0.3778 0.5811
Ru 0.4705 0.9409 0.3451
Ge 0.8525 0.7051 0.2500
Ge 0.6334 0.2668 0.4415
Ge 0.6334 0.2668 0.0585
Ge 0.3666 0.7332 0.9415
Ge 0.1475 0.2949 0.7500
Ge 0.3666 0.7332 0.5585
Tm 0.8540 0.7080 0.7500
Tm 0.1460 0.2920 0.2500

Summary:
As for the mass density: 10.257 Mg/m³. The crystal system is orthorhombic. The energy of formation is -1.82 eV per formula unit. As for the density of states at the Fermi level: 0.830 states/eV per atom.